Entry 1:
Here is BaPRu3 after structural relaxation from the Alexandria database. Energies are from PBE.

abc: 4.5702 4.5702 4.5702
angles: 90.00 90.00 90.00
Atoms (fractional coordinates):
Ru 0.0000 0.5000 0.0000
Ru 0.0000 0.0000 0.5000
Ru 0.5000 0.0000 0.0000
Ba 0.5000 0.5000 0.5000
P 0.0000 0.0000 0.0000

Output
For the excess energy over the best structure of this formula in the dataset, the calculation gives 0 meV/atom. For the density of states at the Fermi level, the calculation gives 5.71 states/eV/f.u. For the magnetic moment, the calculation gives 0.00 μB/f.u. Its total energy is -0.5007 Ry per atom.


Entry 2:
Here is NiGeH2W after structural relaxation from the Alexandria database. Energies are from PBE.

abc: 3.4436 5.3815 3.4436
angles: 90.00 90.00 90.00
Last column: magnetic moment on the atom in μB.
Atoms (fractional coordinates):
Ni 0.0000 0.5000 0.0000  0.12
Ge 0.0000 0.0000 0.0000  -0.01
W 0.5000 0.5000 0.5000  1.03
H 0.0000 0.0000 0.5000  0.00
H 0.5000 0.0000 0.0000  0.01

Output
For the density of states at the Fermi level, the calculation gives 3.93 states/eV/f.u. For the magnetic moment, the calculation gives 1.51 μB/f.u. Its total energy is -0.3666 Ry per atom.


Entry 3:
Here is LiZnRuF6 after structural relaxation from the Alexandria database. Energies are from PBE.

abc: 5.1314 5.1314 9.0471
angles: 90.00 90.00 120.00
Last column: magnetic moment on the atom in μB.
Atoms (fractional coordinates):
Li 0.6667 0.3333 0.2500  0.00
Li 0.3333 0.6667 0.7500  0.00
Zn 0.3333 0.6667 0.2500  0.00
Zn 0.6667 0.3333 0.7500  0.00
Ru 0.0000 0.0000 0.0000  0.84
Ru 0.0000 0.0000 0.5000  0.84
F 0.6741 0.6715 0.1275  0.02
F 0.9974 0.3259 0.1275  0.02
F 0.3259 0.9974 0.6275  0.02
F 0.0026 0.6741 0.8725  0.02
F 0.3285 0.3259 0.3725  0.02
F 0.9974 0.6715 0.3725  0.02
F 0.6715 0.9974 0.8725  0.02
F 0.6741 0.0026 0.3725  0.02
F 0.0026 0.3285 0.6275  0.02
F 0.3285 0.0026 0.1275  0.02
F 0.6715 0.6741 0.6275  0.02
F 0.3259 0.3285 0.8725  0.02

Output
For the density of states at the Fermi level, the calculation gives 8.41 states/eV/f.u. For the magnetic moment, the calculation gives 1.00 μB/f.u. Its total energy is -0.3473 Ry per atom.


Entry 4:
Here is Ba2TlAuO5 after structural relaxation from the Alexandria database. Energies are from PBE.

abc: 3.6537 7.6277 11.6458
angles: 90.00 90.00 103.86
Atoms (fractional coordinates):
Ba 0.8563 0.7126 0.8052
Ba 0.0918 0.1836 0.6771
Ba 0.1437 0.2874 0.3052
Ba 0.9082 0.8164 0.1771
Tl 0.7947 0.5893 0.5237
Tl 0.2053 0.4107 0.0237
Au 0.5262 0.0524 0.9448
Au 0.4738 0.9476 0.4448
O 0.3908 0.7815 0.9897
O 0.6626 0.3253 0.8931
O 0.4835 0.9669 0.7763
O 0.2672 0.5344 0.6419
O 0.9376 0.8752 0.5723
O 0.6092 0.2185 0.4897
O 0.3374 0.6747 0.3931
O 0.5165 0.0331 0.2763
O 0.7328 0.4656 0.1419
O 0.0624 0.1248 0.0723

Output
For the density of states at the Fermi level, the calculation gives 1.21 states/eV/f.u. For the magnetic moment, the calculation gives 0.00 μB/f.u. Its total energy is -0.3751 Ry per atom.


Entry 5:
Here is SrHgI2N after structural relaxation from the Alexandria database. Energies are from PBE.

abc: 6.3545 7.2143 6.3545
angles: 90.00 90.00 90.00
Last column: magnetic moment on the atom in μB.
Atoms (fractional coordinates):
I 0.0000 0.0000 0.5000  0.01
I 0.5000 0.0000 0.0000  0.01
Sr 0.0000 0.0000 0.0000  0.00
Hg 0.0000 0.5000 0.0000  0.00
N 0.5000 0.5000 0.5000  1.94

Output
For the excess energy over the best structure of this formula in the dataset, the calculation gives 134 meV/atom. For the density of states at the Fermi level, the calculation gives 0.00 states/eV/f.u. For the magnetic moment, the calculation gives 3.00 μB/f.u. Its total energy is -0.1814 Ry per atom.


Entry 6:
Here is YHfAl2 after structural relaxation from the Alexandria database. Energies are from PBE.

abc: 3.5733 3.5733 6.6168
angles: 90.00 90.00 90.00
Atoms (fractional coordinates):
Y 0.5000 0.5000 0.5000
Hf 0.5000 0.5000 0.0000
Al 0.0000 0.0000 0.7844
Al 0.0000 0.0000 0.2156

Output
For the excess energy over the best structure of this formula in the dataset, the calculation gives 0 meV/atom. For the density of states at the Fermi level, the calculation gives 3.74 states/eV/f.u. For the magnetic moment, the calculation gives 0.00 μB/f.u. Its total energy is -0.4612 Ry per atom.


Entry 7:
Here is K2NdInI6 after structural relaxation from the Alexandria database. Energies are from PBE.

abc: 8.7037 8.7034 9.0919
angles: 61.39 61.39 59.99
Atoms (fractional coordinates):
K 0.5271 0.5270 0.4187
K 0.0174 0.0175 0.9477
Nd 0.3244 0.3244 0.0270
In 0.8170 0.8169 0.5493
I 0.5699 0.2043 0.2529
I 0.2043 0.9728 0.2528
I 0.9728 0.5700 0.2529
I 0.4337 0.6835 0.7712
I 0.6835 0.1115 0.7713
I 0.1115 0.4338 0.7714

Output
For the density of states at the Fermi level, the calculation gives 0.00 states/eV/f.u. For the magnetic moment, the calculation gives 0.00 μB/f.u. Its total energy is -0.2315 Ry per atom.


Entry 8:
Here is RbTe2Se2 after structural relaxation from the Alexandria database. Energies are from PBE.

abc: 9.2886 9.2886 3.6892
angles: 90.00 90.00 90.00
Atoms (fractional coordinates):
Te 0.2257 0.7257 0.5000
Te 0.7257 0.7743 0.5000
Te 0.7743 0.2743 0.5000
Te 0.2743 0.2257 0.5000
Se 0.3792 0.8792 0.0000
Se 0.8792 0.6208 0.0000
Se 0.6208 0.1208 0.0000
Se 0.1208 0.3792 0.0000
Rb 0.0000 0.0000 0.0000
Rb 0.5000 0.5000 0.0000

Output
For the excess energy over the best structure of this formula in the dataset, the calculation gives 117 meV/atom. For the density of states at the Fermi level, the calculation gives 2.14 states/eV/f.u. For the magnetic moment, the calculation gives 0.00 μB/f.u. Its total energy is -0.2254 Ry per atom.


Entry 9:
Here is Pm6CdPd after structural relaxation from the Alexandria database. Energies are from PBE.

abc: 5.2281 5.2282 9.5476
angles: 74.11 74.14 90.00
Atoms (fractional coordinates):
Pm 0.7483 0.7483 0.5033
Pm 0.6056 0.1057 0.7887
Pm 0.1057 0.6056 0.7887
Pm 0.3944 0.8943 0.2113
Pm 0.2517 0.2517 0.4967
Pm 0.8943 0.3944 0.2113
Cd 0.5000 0.5000 0.0000
Pd 0.0000 0.0000 0.0000

Output
For the excess energy over the best structure of this formula in the dataset, the calculation gives 0 meV/atom. For the density of states at the Fermi level, the calculation gives 10.25 states/eV/f.u. For the magnetic moment, the calculation gives 0.00 μB/f.u. Its total energy is -0.3338 Ry per atom.


Entry 10:
Here is Y2ScAl after structural relaxation from the Alexandria database. Energies are from PBE.

abc: 4.4371 3.5358 7.4865
angles: 61.82 90.00 90.00
Atoms (fractional coordinates):
Y 0.0000 0.9915 0.0095
Y 0.0000 0.5085 0.4905
Sc 0.5000 0.7500 0.7500
Al 0.5000 0.2500 0.2500

Output
For the density of states at the Fermi level, the calculation gives 5.83 states/eV/f.u. For the magnetic moment, the calculation gives 0.00 μB/f.u. Its total energy is -0.4338 Ry per atom.


Entry 11:
Here is Tl5Hg6Sb after structural relaxation from the Alexandria database. Energies are from PBE.

abc: 5.5041 7.7836 9.1809
angles: 115.09 101.66 90.03
Atoms (fractional coordinates):
Sb 0.0000 0.0000 0.0000
Tl 0.3010 0.8201 0.6401
Tl 0.6722 0.6599 0.3201
Tl 0.0000 0.5000 0.0000
Tl 0.3278 0.3401 0.6799
Tl 0.6990 0.1799 0.3599
Hg 0.1795 0.3970 0.3183
Hg 0.1795 0.9214 0.3183
Hg 0.5001 0.2261 0.0000
Hg 0.4999 0.7739 0.0000
Hg 0.8205 0.0786 0.6817
Hg 0.8205 0.6030 0.6817

Output
For the density of states at the Fermi level, the calculation gives 5.08 states/eV/f.u. For the magnetic moment, the calculation gives 0.00 μB/f.u. Its total energy is -0.1077 Ry per atom.


Entry 12:
Here is Ac8Ru3SBr3 after structural relaxation from the Alexandria database. Energies are from PBE.

abc: 8.8013 8.8006 9.4388
angles: 117.83 90.00 120.00
Atoms (fractional coordinates):
Ac 0.2651 0.5302 0.2959
Ac 0.7349 0.4698 0.7041
Ac 0.7586 0.5173 0.3012
Ac 0.2414 0.4827 0.6988
Ac 0.7585 0.0421 0.3011
Ac 0.2415 0.9579 0.6989
Ac 0.2836 0.0421 0.3011
Ac 0.7164 0.9579 0.6989
Ru 0.5000 0.0000 0.5000
Ru 0.5000 0.5000 0.5000
Ru 0.0000 0.5000 0.5000
S 0.0000 0.0000 0.5000
Br 0.0000 0.0000 0.0000
Br 0.0000 0.5000 0.0000
Br 0.5000 0.5000 0.0000

Output
For the density of states at the Fermi level, the calculation gives 12.02 states/eV/f.u. For the magnetic moment, the calculation gives 0.00 μB/f.u. Its total energy is -0.4063 Ry per atom.


Entry 13:
Here is NbSbAuI2 after structural relaxation from the Alexandria database. Energies are from PBE.

abc: 5.5297 5.5297 5.4513
angles: 90.00 90.00 90.00
Last column: magnetic moment on the atom in μB.
Atoms (fractional coordinates):
I 0.0000 0.5000 0.0000  -0.08
I 0.5000 0.0000 0.0000  -0.08
Sb 0.0000 0.0000 0.5000  -0.31
Nb 0.5000 0.5000 0.5000  2.72
Au 0.0000 0.0000 0.0000  -0.02

Output
For the excess energy over the best structure of this formula in the dataset, the calculation gives 568 meV/atom. For the density of states at the Fermi level, the calculation gives 5.71 states/eV/f.u. For the magnetic moment, the calculation gives 2.54 μB/f.u. Its total energy is -0.2243 Ry per atom.


Entry 14:
Here is SmScUO6 after structural relaxation from the Alexandria database. Energies are from PBE.

abc: 5.5875 5.5875 9.7716
angles: 90.00 90.00 120.00
Atoms (fractional coordinates):
Sm 0.0000 0.0000 0.0000
Sm 0.0000 0.0000 0.5000
Sc 0.3333 0.6667 0.2500
Sc 0.6667 0.3333 0.7500
U 0.6667 0.3333 0.2500
U 0.3333 0.6667 0.7500
O 0.6489 0.6443 0.1386
O 0.9953 0.3511 0.1386
O 0.3511 0.9953 0.6386
O 0.0047 0.6489 0.8614
O 0.3557 0.3511 0.3614
O 0.9953 0.6443 0.3614
O 0.6443 0.9953 0.8614
O 0.6489 0.0047 0.3614
O 0.0047 0.3557 0.6386
O 0.3557 0.0047 0.1386
O 0.6443 0.6489 0.6386
O 0.3511 0.3557 0.8614

Output
For the density of states at the Fermi level, the calculation gives 0.00 states/eV/f.u. For the magnetic moment, the calculation gives 0.00 μB/f.u. Its total energy is -0.6713 Ry per atom.


Entry 15:
Here is Hg3P after structural relaxation from the Alexandria database. Energies are from PBE.

abc: 3.5072 3.5072 8.1988
angles: 90.00 90.00 109.95
Atoms (fractional coordinates):
Hg 0.0000 0.0000 0.0265
Hg 0.5000 0.5000 0.7500
Hg 0.0000 0.0000 0.4735
P 0.5000 0.5000 0.2500

Output
For the excess energy over the best structure of this formula in the dataset, the calculation gives 303 meV/atom. For the density of states at the Fermi level, the calculation gives 1.44 states/eV/f.u. For the magnetic moment, the calculation gives 0.00 μB/f.u. Its total energy is -0.0880 Ry per atom.


Entry 16:
Here is BiTeAsI2 after structural relaxation from the Alexandria database. Energies are from PBE.

abc: 5.5142 5.5142 5.7479
angles: 90.00 90.00 90.00
Atoms (fractional coordinates):
I 0.0000 0.5000 0.0000
I 0.5000 0.0000 0.0000
As 0.0000 0.0000 0.0000
Te 0.0000 0.0000 0.5000
Bi 0.5000 0.5000 0.5000

Output
For the excess energy over the best structure of this formula in the dataset, the calculation gives 0 meV/atom. For the density of states at the Fermi level, the calculation gives 3.21 states/eV/f.u. For the magnetic moment, the calculation gives 0.00 μB/f.u. Its total energy is -0.1935 Ry per atom.


Entry 17:
Here is PrCoSn2 after structural relaxation from the Alexandria database. Energies are from PBE.

abc: 4.5448 9.4850 10.0254
angles: 118.23 103.10 90.00
Atoms (fractional coordinates):
Pr 0.7098 0.7098 0.4195
Pr 0.5000 0.2652 0.0000
Pr 0.5000 0.7348 0.0000
Pr 0.2902 0.2902 0.5805
Co 0.8533 0.6024 0.7067
Co 0.1467 0.3976 0.2933
Co 0.1467 0.8957 0.2933
Co 0.8533 0.1043 0.7067
Sn 0.9172 0.4172 0.8343
Sn 0.6960 0.3619 0.3920
Sn 0.6960 0.0301 0.3920
Sn 0.3040 0.6381 0.6080
Sn 0.0864 0.0864 0.1729
Sn 0.0828 0.5828 0.1657
Sn 0.9136 0.9136 0.8271
Sn 0.3040 0.9699 0.6080

Output
For the density of states at the Fermi level, the calculation gives 2.77 states/eV/f.u. For the magnetic moment, the calculation gives 0.00 μB/f.u. Its total energy is -0.4003 Ry per atom.


Entry 18:
Here is AlCuB2Pd after structural relaxation from the Alexandria database. Energies are from PBE.

abc: 4.0530 4.6892 4.0530
angles: 90.00 90.00 90.00
Atoms (fractional coordinates):
B 0.0000 0.0000 0.5000
B 0.5000 0.0000 0.0000
Cu 0.5000 0.5000 0.5000
Pd 0.0000 0.5000 0.0000
Al 0.0000 0.0000 0.0000

Output
For the density of states at the Fermi level, the calculation gives 2.64 states/eV/f.u. For the magnetic moment, the calculation gives 0.00 μB/f.u. Its total energy is -0.2870 Ry per atom.


Entry 19:
Here is YHfZn17 after structural relaxation from the Alexandria database. Energies are from PBE.

abc: 6.7273 6.7273 6.7273
angles: 82.65 82.65 82.65
Atoms (fractional coordinates):
Y 0.6645 0.6645 0.6645
Hf 0.3311 0.3311 0.3311
Zn 0.2983 0.0031 0.6972
Zn 0.6972 0.2983 0.0031
Zn 0.0031 0.6972 0.2983
Zn 0.2983 0.6972 0.0031
Zn 0.0031 0.2983 0.6972
Zn 0.6972 0.0031 0.2983
Zn 0.3492 0.8537 0.3492
Zn 0.3492 0.3492 0.8537
Zn 0.8537 0.3492 0.3492
Zn 0.6381 0.1782 0.6381
Zn 0.6381 0.6381 0.1782
Zn 0.1782 0.6381 0.6381
Zn 0.9912 0.5083 0.9912
Zn 0.9912 0.9912 0.5083
Zn 0.5083 0.9912 0.9912
Zn 0.9050 0.9050 0.9050
Zn 0.1051 0.1051 0.1051

Output
For the density of states at the Fermi level, the calculation gives 4.44 states/eV/f.u. For the magnetic moment, the calculation gives 0.00 μB/f.u. Its total energy is -0.1585 Ry per atom.


Entry 20:
Here is CaTlRh after structural relaxation from the Alexandria database. Energies are from PBE.

abc: 4.7566 4.7566 3.5346
angles: 90.00 90.00 120.00
Atoms (fractional coordinates):
Tl 0.3333 0.6667 0.4996
Rh 0.6667 0.3333 0.5007
Ca 0.0000 0.0000 0.9997

Output
For the density of states at the Fermi level, the calculation gives 2.33 states/eV/f.u. For the magnetic moment, the calculation gives 0.00 μB/f.u. Its total energy is -0.3053 Ry per atom.


Entry 21:
Here is Ac3LaAl8 after structural relaxation from the Alexandria database. Energies are from PBE.

abc: 5.8777 5.8777 10.1574
angles: 73.18 73.18 60.00
Atoms (fractional coordinates):
Ac 0.3749 0.3749 0.8752
Ac 0.9997 0.9997 0.0008
Ac 0.5005 0.5005 0.4986
La 0.8747 0.8747 0.3758
Al 0.9365 0.4366 0.1904
Al 0.4396 0.9379 0.6847
Al 0.4366 0.4366 0.1904
Al 0.9379 0.9379 0.6847
Al 0.1879 0.1879 0.4364
Al 0.6873 0.6873 0.9381
Al 0.4366 0.9365 0.1904
Al 0.9379 0.4396 0.6847

Output
For the density of states at the Fermi level, the calculation gives 6.02 states/eV/f.u. For the magnetic moment, the calculation gives 0.00 μB/f.u. Its total energy is -0.3181 Ry per atom.


Entry 22:
Here is Ho4CuAu3 after structural relaxation from the Alexandria database. Energies are from PBE.

abc: 3.6965 4.6289 10.8586
angles: 90.00 90.00 90.00
Atoms (fractional coordinates):
Ho 0.5000 0.5000 0.3556
Ho 0.0000 0.5000 0.8650
Ho 0.0000 0.0000 0.1371
Ho 0.5000 0.0000 0.6409
Cu 0.5000 0.5000 0.0811
Au 0.0000 0.5000 0.5892
Au 0.0000 0.0000 0.4106
Au 0.5000 0.0000 0.9205

Output
For the density of states at the Fermi level, the calculation gives 6.23 states/eV/f.u. For the magnetic moment, the calculation gives 0.00 μB/f.u. Its total energy is -0.3497 Ry per atom.


Entry 23:
Here is Cu2MoAu after structural relaxation from the Alexandria database. Energies are from PBE.

abc: 2.7376 2.7376 7.6928
angles: 90.00 90.00 90.00
Atoms (fractional coordinates):
Au 0.5000 0.5000 0.7635
Cu 0.0000 0.0000 0.0220
Cu 0.5000 0.5000 0.2356
Mo 0.0000 0.0000 0.4789

Output
For the excess energy over the best structure of this formula in the dataset, the calculation gives 0 meV/atom. For the density of states at the Fermi level, the calculation gives 2.89 states/eV/f.u. For the magnetic moment, the calculation gives 0.00 μB/f.u. Its total energy is -0.3997 Ry per atom.